# 1
Here is LiSi2Os after structural relaxation from Alexandria. Energies are from GGA-PBE.

a b c (Å): 4.3046 4.3046 2.9211
angles (deg): 90.13 90.13 106.90
Fractional positions:
Li 0.0000 0.0000 0.0000
Si 0.0000 0.5000 0.5000
Si 0.5000 0.0000 0.5000
Os 0.5000 0.5000 0.0000

Summary:
The total energy comes out at -5.99 eV per atom. The energy above the most stable polymorph in this dataset is 1.04 eV/f.u. Its formation energy from raw total energies is 5 meV/atom.


# 2
Here is MnPbBr6 after structural relaxation from Alexandria. Energies are from GGA-PBE.

a b c (Å): 7.0840 7.0840 7.3399
angles (deg): 90.29 90.29 119.87
Fractional positions:
Mn 0.0000 0.0000 0.0000
Pb 0.0000 0.0000 0.5000
Br 0.9996 0.2861 0.1938
Br 0.0004 0.7139 0.8062
Br 0.2861 0.9996 0.1938
Br 0.2857 0.2857 0.8104
Br 0.7139 0.0004 0.8062
Br 0.7143 0.7143 0.1896

Summary:
The total energy comes out at -3.50 eV per atom. The energy above the most stable polymorph in this dataset is 0.00 eV/f.u. Its formation energy from raw total energies is -640 meV/atom.


# 3
Here is AcPr2Nd6 after structural relaxation from Alexandria. Energies are from GGA-PBE.

a b c (Å): 10.1851 10.1851 3.6445
angles (deg): 90.09 90.09 59.81
Fractional positions:
Ac 0.0000 0.0000 0.0000
Pr 0.3334 0.3334 0.0000
Pr 0.6666 0.6666 0.0000
Nd 0.9997 0.3365 0.5001
Nd 0.0003 0.6635 0.4999
Nd 0.3351 0.6649 0.5000
Nd 0.3365 0.9997 0.5001
Nd 0.6635 0.0003 0.4999
Nd 0.6649 0.3351 0.5000

Summary:
The total energy comes out at -4.65 eV per atom. The formation energy is 49.0 meV per atom. The energy above the most stable polymorph in this dataset is 0.00 eV/f.u.